No. 1
# AlIn4Cl PBE relaxed
data_AlIn4Cl
_chemical_formula_sum 'Al4 In16 Cl4'
_symmetry_space_group_name_H-M 'F -4 3 m'
_symmetry_Int_Tables_number 216
_symmetry_space_group_name_Hall 'F -4 2 3'
_cell_length_a 8.740
_cell_length_b 8.740
_cell_length_c 8.740
_cell_angle_alpha 90.00
_cell_angle_beta 90.00
_cell_angle_gamma 90.00
loop_
_atom_site_label
_atom_site_fract_x
_atom_site_fract_y
_atom_site_fract_z
Al1 0.000 0.000 0.000
In1 0.125 0.125 0.375
Cl1 0.250 0.250 0.750
# magnetization = 0.00 μB per formula unit
# final energy = -2.653 eV per atom
# Fermi-level density of states = 15.044 states/eV/cell
# formation energy without anion corrections = 0.105 eV per atom

No. 2
# AlInCl3 PBE relaxed
data_AlInCl3
_chemical_formula_sum 'Al4 In4 Cl12'
_symmetry_space_group_name_H-M 'C 1 2/m 1'
_symmetry_Int_Tables_number 12
_symmetry_space_group_name_Hall '-C 2y'
_cell_length_a 15.422
_cell_length_b 5.225
_cell_length_c 8.221
_cell_angle_alpha 90.00
_cell_angle_beta 106.97
_cell_angle_gamma 90.00
loop_
_atom_site_label
_atom_site_fract_x
_atom_site_fract_y
_atom_site_fract_z
Al1 0.020 0.000 0.164
In1 0.167 0.500 0.040
Cl1 0.028 0.500 0.215
Cl2 0.092 0.000 0.725
Cl3 0.168 0.000 0.292
# magnetization = 0.00 μB per formula unit
# final energy = -3.434 eV per atom
# Fermi-level density of states = 0.000 states/eV/cell
# formation energy without anion corrections = -1.030 eV per atom
# energy relative to the lowest polymorph listed for this composition = 0.00 eV per formula unit

No. 3
# Al2InCl8 PBE relaxed
data_Al2InCl8
_chemical_formula_sum 'Al4 In2 Cl16'
_symmetry_space_group_name_H-M 'C 1 2/m 1'
_symmetry_Int_Tables_number 12
_symmetry_space_group_name_Hall '-C 2y'
_cell_length_a 12.049
_cell_length_b 7.376
_cell_length_c 8.618
_cell_angle_alpha 90.00
_cell_angle_beta 97.46
_cell_angle_gamma 90.00
loop_
_atom_site_label
_atom_site_fract_x
_atom_site_fract_y
_atom_site_fract_z
Al1 0.210 0.000 0.271
In1 0.000 0.500 0.000
Cl1 0.107 0.500 0.727
Cl2 0.148 0.237 0.132
Cl3 0.168 0.000 0.500
# magnetization = 0.00 μB per formula unit
# final energy = -3.560 eV per atom
# Fermi-level density of states = 9.425 states/eV/cell
# formation energy without anion corrections = -1.288 eV per atom
# energy relative to the lowest polymorph listed for this composition = 0.48 eV per formula unit

No. 4
# Al2InCl2 PBE relaxed
data_Al2InCl2
_chemical_formula_sum 'Al4 In2 Cl4'
_symmetry_space_group_name_H-M 'I 4/m m m'
_symmetry_Int_Tables_number 139
_symmetry_space_group_name_Hall '-I 4 2'
_cell_length_a 4.391
_cell_length_b 4.391
_cell_length_c 13.133
_cell_angle_alpha 90.00
_cell_angle_beta 90.00
_cell_angle_gamma 90.00
loop_
_atom_site_label
_atom_site_fract_x
_atom_site_fract_y
_atom_site_fract_z
Al1 0.000 0.000 0.122
In1 0.000 0.000 0.500
Cl1 0.000 0.500 0.250
# magnetization = 0.00 μB per formula unit
# final energy = -2.937 eV per atom
# Fermi-level density of states = 2.319 states/eV/cell
# formation energy without anion corrections = -0.154 eV per atom
# energy relative to the lowest polymorph listed for this composition = 0.61 eV per formula unit

No. 5
# AlInCl2 PBE relaxed
data_AlInCl2
_chemical_formula_sum 'Al3 In3 Cl6'
_symmetry_space_group_name_H-M 'R -3 m'
_symmetry_Int_Tables_number 166
_symmetry_space_group_name_Hall '-R 3 2"'
_cell_length_a 4.4350
_cell_length_b 4.4350
_cell_length_c 21.6670
_cell_angle_alpha 90.00
_cell_angle_beta 90.00
_cell_angle_gamma 120.00
loop_
_atom_site_label
_atom_site_fract_x
_atom_site_fract_y
_atom_site_fract_z
Al1 0.0000 0.0000 0.0000
In1 0.0000 0.0000 0.5000
Cl1 0.0000 0.0000 0.2561
# magnetization = 0.00 μB per formula unit
# final energy = -3.059 eV per atom
# formation energy without anion corrections = -0.516 eV per atom
# energy relative to the lowest polymorph listed for this composition = 0.82 eV per formula unit

No. 6
# AlInCl2 PBE relaxed
data_AlInCl2
_chemical_formula_sum 'Al2 In2 Cl4'
_symmetry_space_group_name_H-M 'I -4 m 2'
_symmetry_Int_Tables_number 119
_symmetry_space_group_name_Hall 'I -4 -2'
_cell_length_a 4.264
_cell_length_b 4.264
_cell_length_c 12.067
_cell_angle_alpha 90.00
_cell_angle_beta 90.00
_cell_angle_gamma 90.00
loop_
_atom_site_label
_atom_site_fract_x
_atom_site_fract_y
_atom_site_fract_z
Al1 0.000 0.000 0.000
In1 0.000 0.500 0.250
Cl1 0.000 0.000 0.500
Cl2 0.000 0.500 0.750
# magnetization = 0.00 μB per formula unit
# final energy = -2.993 eV per atom
# formation energy without anion corrections = -0.450 eV per atom
# energy relative to the lowest polymorph listed for this composition = 1.09 eV per formula unit

No. 7
# AlIn3Cl PBE relaxed
data_AlIn3Cl
_chemical_formula_sum 'Al1 In3 Cl1'
_symmetry_space_group_name_H-M 'P m -3 m'
_symmetry_Int_Tables_number 221
_symmetry_space_group_name_Hall '-P 4 2 3'
_cell_length_a 5.617
_cell_length_b 5.617
_cell_length_c 5.617
_cell_angle_alpha 90.00
_cell_angle_beta 90.00
_cell_angle_gamma 90.00
loop_
_atom_site_label
_atom_site_fract_x
_atom_site_fract_y
_atom_site_fract_z
Al1 0.000 0.000 0.000
In1 0.000 0.500 0.500
Cl1 0.500 0.500 0.500
# magnetization = 0.00 μB per formula unit
# final energy = -2.400 eV per atom
# Fermi-level density of states = 6.874 states/eV/cell
# formation energy without anion corrections = 0.361 eV per atom
# energy relative to the lowest polymorph listed for this composition = 1.60 eV per formula unit

No. 8
# AlInCl2 PBE relaxed
data_AlInCl2
_chemical_formula_sum 'Al4 In4 Cl8'
_symmetry_space_group_name_H-M 'F -4 3 m'
_symmetry_Int_Tables_number 216
_symmetry_space_group_name_Hall 'F -4 2 3'
_cell_length_a 7.323
_cell_length_b 7.323
_cell_length_c 7.323
_cell_angle_alpha 90.00
_cell_angle_beta 90.00
_cell_angle_gamma 90.00
loop_
_atom_site_label
_atom_site_fract_x
_atom_site_fract_y
_atom_site_fract_z
Al1 0.000 0.000 0.000
In1 0.250 0.250 0.250
Cl1 0.000 0.000 0.500
Cl2 0.250 0.250 0.750
# magnetization = 0.00 μB per formula unit
# final energy = -2.819 eV per atom
# formation energy without anion corrections = -0.276 eV per atom
# energy relative to the lowest polymorph listed for this composition = 1.78 eV per formula unit